Entry 1:
Here is a geometry-optimized LiSn4 structure from the Alexandria database. Energies are from PBE-GGA.

D(E_F) = 3.305 states/eV per cell
Electronic total energy = -36.50 eV/cell
Energy of formation = -0.065 eV per atom
Energy above the lowest structure with this stoichiometry = 0.00 eV per formula unit

a = 6.3542 Å, b = 6.3542 Å, c = 6.3534 Å
α = 90.00°, β = 90.00°, γ = 90.00°
With the nearest neighbours (Å) after each atom.
Space group P4/nbm (No. 125, origin choice 2)
Symmetry-distinct sites (fractional):
1 Li 0.2500 0.2500 0.0000 [2 per cell]  8 Sn 2.88
2 Sn 0.0521 0.5521 0.2745 [8 per cell]  2 Li 2.88, 1 Sn 3.01

***

Entry 2:
Here is a geometry-optimized Ba2SrSn2 structure from the Alexandria database. Energies are from PBE-GGA.

D(E_F) = 6.617 states/eV per cell
Electronic total energy = -32.02 eV/cell
Energy of formation = -0.495 eV per atom
Energy above the lowest structure with this stoichiometry = 0.47 eV per formula unit

a = 10.6266 Å, b = 5.4345 Å, c = 7.3332 Å
α = 90.00°, β = 93.93°, γ = 90.00°
With the nearest neighbours (Å) after each atom.
Space group C2/m (No. 12)
Symmetry-distinct sites (fractional):
1 Ba 0.1478 0.0000 0.3358 [4 per cell]  5 Sn 3.56-3.74, 2 Sr 3.92
2 Sr 0.0000 0.5000 0.0000 [2 per cell]  6 Sn 3.47-3.58
3 Sn 0.1842 0.0000 0.8462 [4 per cell]  3 Sr 3.47-3.58, 5 Ba 3.56-3.74, 2 Sn 3.74

***

- Look up the D(E_F) of the first one.
  3.305 states/eV per cell